[1]
Computed, not measured: a geometry-optimized NiTeMo structure at the PBE-GGA level of DFT.

The structure in extended XYZ format:
```
3
Lattice="0.000 3.076 3.076 3.076 0.000 3.076 3.076 3.076 0.000" Properties=species:S:1:pos:R:3 pbc="T T T"
Ni 0.000 0.000 0.000
Te 3.076 3.076 3.076
Mo 4.613 4.613 4.613
```

=====

[2]
Computed, not measured: a geometry-optimized NiTe2Mo structure at the PBE-GGA level of DFT.

The structure in extended XYZ format:
```
4
Lattice="0.000 3.352 3.352 3.352 0.000 3.352 3.352 3.352 0.000" Properties=species:S:1:pos:R:3 pbc="T T T"
Ni 0.000 0.000 0.000
Te 1.676 1.676 1.676
Te 5.027 5.027 5.027
Mo 3.352 3.352 3.352
```

=====

[3]
Computed, not measured: a geometry-optimized NiTeMo structure at the PBE-GGA level of DFT.

The structure in extended XYZ format:
```
6
Lattice="10.943 0.000 0.000 0.000 1.726 2.989 0.000 -1.726 2.989" Properties=species:S:1:pos:R:3 pbc="T T T"
Ni 1.421 0.000 0.000
Ni 9.522 0.000 0.000
Te 3.590 0.000 3.078
Te 7.353 0.000 3.078
Mo 0.000 0.000 2.032
Mo 5.472 0.000 1.114
```

=====

[4]
Computed, not measured: a geometry-optimized NiTe2Mo structure at the PBE-GGA level of DFT.

The structure in extended XYZ format:
```
4
Lattice="4.194 -1.712 0.000 4.194 1.712 0.000 -0.726 0.000 5.515" Properties=species:S:1:pos:R:3 pbc="T T T"
Ni 0.000 0.000 0.000
Te 1.324 0.000 4.085
Te 6.337 0.000 1.429
Mo 3.831 0.000 2.757
```

=====

[5]
Computed, not measured: a geometry-optimized NiTe2Mo structure at the PBE-GGA level of DFT.

The structure in extended XYZ format:
```
4
Lattice="-1.974 1.974 4.930 1.974 -1.974 4.930 1.974 1.974 -4.930" Properties=species:S:1:pos:R:3 pbc="T T T"
Ni 0.000 0.000 0.000
Te 1.974 0.000 2.465
Te 0.000 0.000 4.930
Mo 0.000 1.974 2.465
```

=====

[6]
Computed, not measured: a geometry-optimized NiTeMo structure at the PBE-GGA level of DFT.

The structure in extended XYZ format:
```
3
Lattice="-1.651 1.651 4.460 1.651 -1.651 4.460 1.651 1.651 -4.460" Properties=species:S:1:pos:R:3 pbc="T T T"
Ni 0.000 0.000 0.000
Te 0.000 0.000 3.019
Mo 0.000 0.000 5.913
```

=====

[7]
Computed, not measured: a geometry-optimized Ni2Te6Mo structure at the PBE-GGA level of DFT.

The structure in extended XYZ format:
```
18
Lattice="5.867 -6.338 0.000 5.867 6.338 0.000 -0.481 0.000 7.040" Properties=species:S:1:pos:R:3 pbc="T T T"
Ni 2.161 1.128 1.984
Ni 1.921 -1.128 5.503
Ni 9.331 1.128 1.536
Ni 9.090 -1.128 5.056
Te 0.982 0.655 4.084
Te 3.358 2.820 5.648
Te 1.223 -0.655 0.564
Te 4.513 0.940 2.766
Te 7.653 2.820 4.912
Te 4.273 -0.940 6.286
Te 6.979 0.940 0.754
Te 3.599 -2.820 2.128
Te 6.738 -0.940 4.274
Te 10.029 0.655 6.476
Te 7.893 -2.820 1.392
Te 10.269 -0.655 2.956
Mo 5.506 1.424 5.280
Mo 5.746 -1.424 1.760
```

=====

[8]
Computed, not measured: a geometry-optimized NiTeMo2 structure at the PBE-GGA level of DFT.

The structure in extended XYZ format:
```
4
Lattice="4.519 -1.621 0.000 4.519 1.621 0.000 -0.893 0.000 4.541" Properties=species:S:1:pos:R:3 pbc="T T T"
Ni 0.000 0.000 0.000
Te 4.073 0.000 2.270
Mo 1.634 0.000 3.615
Mo 6.512 0.000 0.925
```

=====

no.,density of states at the Fermi level (states/eV/atom),VASP energy (eV/cell),M_tot (μB/f.u.)
1,0.69,-18.5,1.1
2,1.02,-21.3,1.7
3,0.84,-37.1,0.0
4,0.63,-21.6,0.0
5,0.73,-20.6,1.1
6,1.16,-18.9,0.0
7,0.81,-81.4,0.0
8,0.82,-29.4,0.0